# 1
# Ba4Ir PBEsol optimized geometry
data_Ba4Ir
_chemical_formula_sum 'Ba4 Ir1'
_cell_length_a 7.778
_cell_length_b 7.778
_cell_length_c 7.778
_cell_angle_alpha 93.61
_cell_angle_beta 93.61
_cell_angle_gamma 150.92
_space_group_name_H-M_alt 'P 1'
_space_group_IT_number 1
loop_
_space_group_symop_operation_xyz
'x,y,z'
loop_
_atom_site_label
_atom_site_fract_x
_atom_site_fract_y
_atom_site_fract_z
Ba1 0.053 0.766 0.819
Ba2 0.234 0.053 0.287
Ba3 0.766 0.947 0.713
Ba4 0.947 0.234 0.181
Ir1 0.500 0.500 0.000
# - Size of the total moment: 0.000 μB per atom
# - Total energy: -18.382 eV per cell
# - Calculated volume: 44.3 Å³ per atom
# - ΔH_f (0 K): 0.0 eV per formula unit

=====

# 2
# Li2VO2F PBEsol optimized geometry
data_Li2VO2F
_chemical_formula_sum 'Li4 V2 O4 F2'
_cell_length_a 6.816
_cell_length_b 6.816
_cell_length_c 4.045
_cell_angle_alpha 90.00
_cell_angle_beta 90.00
_cell_angle_gamma 146.84
_space_group_name_H-M_alt 'P 1'
_space_group_IT_number 1
loop_
_space_group_symop_operation_xyz
'x,y,z'
loop_
_atom_site_label
_atom_site_fract_x
_atom_site_fract_y
_atom_site_fract_z
Li1 0.074 0.926 0.750
Li2 0.246 0.754 0.250
Li3 0.754 0.246 0.750
Li4 0.926 0.074 0.250
V1 0.418 0.582 0.750
V2 0.582 0.418 0.250
O1 0.090 0.910 0.250
O2 0.429 0.571 0.250
O3 0.571 0.429 0.750
O4 0.910 0.090 0.750
F1 0.256 0.744 0.750
F2 0.744 0.256 0.250
# - Size of the total moment: 0.333 μB per atom
# - Total energy: -80.913 eV per cell
# - Calculated volume: 8.6 Å³ per atom
# - Formation energy from raw total energies: -2.41 eV per atom

=====

# 3
# LiMoHS2 PBEsol optimized geometry
data_LiMoHS2
_chemical_formula_sum 'Li1 Mo1 H1 S2'
_cell_length_a 4.432
_cell_length_b 4.432
_cell_length_c 3.024
_cell_angle_alpha 90.00
_cell_angle_beta 90.00
_cell_angle_gamma 90.00
_space_group_name_H-M_alt 'P 1'
_space_group_IT_number 1
loop_
_space_group_symop_operation_xyz
'x,y,z'
loop_
_atom_site_label
_atom_site_fract_x
_atom_site_fract_y
_atom_site_fract_z
Li1 0.000 0.000 0.000
Mo1 0.500 0.500 0.500
H1 0.000 0.000 0.500
S1 0.000 0.500 0.000
S2 0.500 0.000 0.000
# - Size of the total moment: 0.265 μB per atom
# - Total energy: -24.386 eV per cell
# - Calculated volume: 11.9 Å³ per atom

=====

Among the records above, which one has the highest calculated volume? Ba4Ir

=====

Which of these has the lowest size of the total moment? Ba4Ir

=====

Repeat the second record exactly.
# Li2VO2F PBEsol optimized geometry
data_Li2VO2F
_chemical_formula_sum 'Li4 V2 O4 F2'
_cell_length_a 6.816
_cell_length_b 6.816
_cell_length_c 4.045
_cell_angle_alpha 90.00
_cell_angle_beta 90.00
_cell_angle_gamma 146.84
_space_group_name_H-M_alt 'P 1'
_space_group_IT_number 1
loop_
_space_group_symop_operation_xyz
'x,y,z'
loop_
_atom_site_label
_atom_site_fract_x
_atom_site_fract_y
_atom_site_fract_z
Li1 0.074 0.926 0.750
Li2 0.246 0.754 0.250
Li3 0.754 0.246 0.750
Li4 0.926 0.074 0.250
V1 0.418 0.582 0.750
V2 0.582 0.418 0.250
O1 0.090 0.910 0.250
O2 0.429 0.571 0.250
O3 0.571 0.429 0.750
O4 0.910 0.090 0.750
F1 0.256 0.744 0.750
F2 0.744 0.256 0.250
# - Size of the total moment: 0.333 μB per atom
# - Total energy: -80.913 eV per cell
# - Calculated volume: 8.6 Å³ per atom
# - Formation energy from raw total energies: -2.41 eV per atom